# 1
DFT (GGA-PBE) results for a relaxed structure of SrSmSc4S8.

Unit cell a=7.9831 b=7.9831 c=7.9831 alpha=58.47 beta=58.47 gamma=58.47
Fractional coordinates of all 14 atoms:
Sr1 0.0000 0.0000 0.0000
Sm1 0.6320 0.6320 0.6320
Sc1 0.1255 0.6317 0.6317
Sc2 0.2564 0.2564 0.2564
Sc3 0.6317 0.1255 0.6317
Sc4 0.6317 0.6317 0.1255
S1 0.3784 0.3784 0.8657
S2 0.3784 0.8657 0.3784
S3 0.3875 0.3875 0.3875
S4 0.4261 0.8758 0.8758
S5 0.8611 0.8611 0.8611
S6 0.8657 0.3784 0.3784
S7 0.8758 0.4261 0.8758
S8 0.8758 0.8758 0.4261

Summary:
symmetry	R3m, No. 160
formation energy (no corrections)	-1.86	eV per atom
density of states at the Fermi level	5.663	states/eV/cell
total DFT energy (no corrections)	-6.4803	eV per atom
total moment	0.00	μB/cell

# 2
DFT (GGA-PBE) results for a relaxed structure of Tb3Sm3ScS8.

Unit cell a=7.8999 b=7.8999 c=7.8999 alpha=59.69 beta=59.69 gamma=59.69
Fractional coordinates of all 15 atoms:
Tb1 0.0000 0.5000 0.5000
Tb2 0.5000 0.0000 0.5000
Tb3 0.5000 0.5000 0.0000
Sm1 0.0000 0.0000 0.5000
Sm2 0.0000 0.5000 0.0000
Sm3 0.5000 0.0000 0.0000
Sc1 0.0000 0.0000 0.0000
S1 0.2400 0.2400 0.7554
S2 0.2400 0.7554 0.2400
S3 0.2446 0.7600 0.7600
S4 0.2524 0.2524 0.2524
S5 0.7476 0.7476 0.7476
S6 0.7554 0.2400 0.2400
S7 0.7600 0.2446 0.7600
S8 0.7600 0.7600 0.2446

Summary:
symmetry	R-3m, No. 166
formation energy (no corrections)	-2.04	eV per atom
density of states at the Fermi level	7.142	states/eV/cell
total DFT energy (no corrections)	-6.5346	eV per atom
total moment	0.00	μB/cell

# 3
DFT (GGA-PBE) results for a relaxed structure of TbSm2ScS6.

Unit cell a=7.2867 b=7.2867 c=7.2867 alpha=56.64 beta=56.64 gamma=56.64
Fractional coordinates of all 10 atoms:
Tb1 0.0000 0.0000 0.0000
Sm1 0.2932 0.2932 0.2932
Sm2 0.7957 0.7957 0.7957
Sc1 0.4966 0.4966 0.4966
S1 0.1215 0.7039 0.3861
S2 0.2232 0.6116 0.8678
S3 0.3861 0.1215 0.7039
S4 0.6116 0.8678 0.2232
S5 0.7039 0.3861 0.1215
S6 0.8678 0.2232 0.6116

Summary:
symmetry	R3, No. 146
formation energy (no corrections)	-1.99	eV per atom
density of states at the Fermi level	0.000	states/eV/cell
total DFT energy (no corrections)	-6.5062	eV per atom
total moment	0.00	μB/cell

# 4
DFT (GGA-PBE) results for a relaxed structure of Tb2SmSc3S6.

Unit cell a=8.5579 b=8.5579 c=7.6968 alpha=103.47 beta=103.47 gamma=25.70
Fractional coordinates of all 12 atoms:
Tb1 0.1661 0.1661 0.3320
Tb2 0.8339 0.8339 0.6680
Sm1 0.5000 0.5000 0.0000
Sc1 0.1656 0.1656 0.8337
Sc2 0.5000 0.5000 0.5000
Sc3 0.8344 0.8344 0.1663
S1 0.0039 0.0039 0.7345
S2 0.3271 0.3271 0.9256
S3 0.3370 0.3370 0.4069
S4 0.6630 0.6630 0.5931
S5 0.6729 0.6729 0.0744
S6 0.9961 0.9961 0.2655

Summary:
symmetry	C2/m, No. 12
formation energy (no corrections)	-1.93	eV per atom
density of states at the Fermi level	5.566	states/eV/cell
total DFT energy (no corrections)	-6.7402	eV per atom
total moment	0.00	μB/cell

Which value of formation energy (no corrections) does entry 1 give? -1.86 eV per atom

density of states at the Fermi level of number 3 (TbSm2ScS6)? 0.000 states/eV/cell

What is the total moment in the first record? 0.00 μB/cell